No. 1
The following is a DFT calculation (PBE) of Er4CdBi after structural relaxation.

Geometry as CIF:
```
data_Er4CdBi
_symmetry_space_group_name_H-M 'F -4 3 m'
_symmetry_Int_Tables_number 216
_symmetry_space_group_name_Hall 'F -4 2 3'
_cell_length_a 14.055
_cell_length_b 14.055
_cell_length_c 14.055
_cell_angle_alpha 90.00
_cell_angle_beta 90.00
_cell_angle_gamma 90.00
loop_
_atom_site_label
_atom_site_fract_x
_atom_site_fract_y
_atom_site_fract_z
Er1 0.000 0.000 0.183
Er2 0.061 0.250 0.750
Er3 0.124 0.124 0.376
Cd1 0.161 0.161 0.161
Bi1 0.098 0.098 0.598
```

Computed properties:
- DFT total energy: -4.185 eV/atom
- Density of states at the Fermi level: 0.815 states/eV/atom
- ΔH_f (0 K): -0.34 eV/atom
- V: 28.9 A^3/atom
- Distance to the lowest polymorph of the same formula: 0 meV/atom

No. 2
The following is a DFT calculation (PBE) of CaHo2Mg2 after structural relaxation.

Geometry as CIF:
```
data_CaHo2Mg2
_symmetry_space_group_name_H-M 'P 1 21/m 1'
_symmetry_Int_Tables_number 11
_cell_length_a 3.721
_cell_length_b 5.536
_cell_length_c 14.356
_cell_angle_alpha 90.00
_cell_angle_beta 97.47
_cell_angle_gamma 90.00
loop_
_symmetry_equiv_pos_as_xyz
'x,y,z'
'-x,-y,-z'
'-x,y+1/2,-z'
'x,-y+1/2,z'
loop_
_atom_site_label
_atom_site_fract_x
_atom_site_fract_y
_atom_site_fract_z
Ca1 0.152 0.250 0.302
Ho1 0.044 0.750 0.086
Ho2 0.235 0.750 0.470
Mg1 0.360 0.250 0.722
Mg2 0.448 0.750 0.898
```

Computed properties:
- DFT total energy: -2.899 eV/atom
- Density of states at the Fermi level: 1.204 states/eV/atom
- ΔH_f (0 K): -0.03 eV/atom
- V: 29.3 A^3/atom

No. 3
The following is a DFT calculation (PBE) of LaTbZnIn after structural relaxation.

Geometry as CIF:
```
data_LaTbZnIn
_symmetry_space_group_name_H-M 'P 4 m m'
_symmetry_Int_Tables_number 99
_cell_length_a 3.730
_cell_length_b 3.730
_cell_length_c 7.706
_cell_angle_alpha 90.00
_cell_angle_beta 90.00
_cell_angle_gamma 90.00
loop_
_symmetry_equiv_pos_as_xyz
'x,y,z'
'-y,x,z'
'-x,-y,z'
'y,-x,z'
'-x,y,z'
'y,x,z'
'x,-y,z'
'-y,-x,z'
loop_
_atom_site_label
_atom_site_fract_x
_atom_site_fract_y
_atom_site_fract_z
La1 0.000 0.000 0.000
Tb1 0.000 0.000 0.461
Zn1 0.500 0.500 0.258
In1 0.500 0.500 0.713
```

Computed properties:
- DFT total energy: -3.807 eV/atom
- Density of states at the Fermi level: 0.964 states/eV/atom
- ΔH_f (0 K): -0.41 eV/atom
- V: 26.8 A^3/atom
- Distance to the lowest polymorph of the same formula: 0 meV/atom

No. 4
The following is a DFT calculation (PBE) of CsMg3Ag4Cl12 after structural relaxation.

Geometry as CIF:
```
data_CsMg3Ag4Cl12
_symmetry_space_group_name_H-M 'R 3 2'
_symmetry_Int_Tables_number 155
_symmetry_space_group_name_Hall 'R 3 2"'
_cell_length_a 14.0856
_cell_length_b 14.0856
_cell_length_c 9.8440
_cell_angle_alpha 90.00
_cell_angle_beta 90.00
_cell_angle_gamma 120.00
loop_
_atom_site_label
_atom_site_fract_x
_atom_site_fract_y
_atom_site_fract_z
Cs1 0.0000 0.0000 0.0000
Mg1 0.0000 0.5890 0.0000
Ag1 0.0000 0.0000 0.5000
Ag2 0.0000 0.3752 0.5000
Cl1 0.0000 0.5843 0.5000
Cl2 0.0000 0.8200 0.5000
Cl3 0.0723 0.2173 0.2129
```

Computed properties:
- DFT total energy: -3.131 eV/atom
- Density of states at the Fermi level: 0.574 states/eV/atom
- V: 28.2 A^3/atom
- Formation energy from raw total energies: -1.171 eV/atom

No. 5
The following is a DFT calculation (PBE) of YW after structural relaxation.

Geometry as CIF:
```
data_YW
_symmetry_space_group_name_H-M 'P -3 m 1'
_symmetry_Int_Tables_number 164
_symmetry_space_group_name_Hall '-P 3 2"'
_cell_length_a 3.3206
_cell_length_b 3.3206
_cell_length_c 9.8874
_cell_angle_alpha 90.00
_cell_angle_beta 90.00
_cell_angle_gamma 120.00
loop_
_atom_site_label
_atom_site_fract_x
_atom_site_fract_y
_atom_site_fract_z
Y1 0.3333 0.6667 0.3346
W1 0.3333 0.6667 0.9128
```

Computed properties:
- DFT total energy: -9.151 eV/atom
- Density of states at the Fermi level: 1.255 states/eV/atom
- ΔH_f (0 K): 0.56 eV/atom
- V: 23.6 A^3/atom
- Distance to the lowest polymorph of the same formula: 309 meV/atom

No. 6
The following is a DFT calculation (PBE) of Sn5Ge3Te12 after structural relaxation.

Geometry as CIF:
```
data_Sn5Ge3Te12
_symmetry_space_group_name_H-M 'I a -3 d'
_symmetry_Int_Tables_number 230
_symmetry_space_group_name_Hall '-I 4bd 2c 3'
_cell_length_a 17.827
_cell_length_b 17.827
_cell_length_c 17.827
_cell_angle_alpha 90.00
_cell_angle_beta 90.00
_cell_angle_gamma 90.00
loop_
_atom_site_label
_atom_site_fract_x
_atom_site_fract_y
_atom_site_fract_z
Sn1 0.000 0.000 0.000
Sn2 0.000 0.250 0.375
Ge1 0.000 0.250 0.125
Te1 0.019 0.070 0.654
```

Computed properties:
- DFT total energy: -3.543 eV/atom
- Density of states at the Fermi level: 0.323 states/eV/atom
- V: 35.4 A^3/atom
- Formation energy from raw total energies: 0.035 eV/atom

No. 7
The following is a DFT calculation (PBE) of AlCo4Tc after structural relaxation.

Geometry as CIF:
```
data_AlCo4Tc
_symmetry_space_group_name_H-M 'F -4 3 m'
_symmetry_Int_Tables_number 216
_symmetry_space_group_name_Hall 'F -4 2 3'
_cell_length_a 6.643
_cell_length_b 6.643
_cell_length_c 6.643
_cell_angle_alpha 90.00
_cell_angle_beta 90.00
_cell_angle_gamma 90.00
loop_
_atom_site_label
_atom_site_fract_x
_atom_site_fract_y
_atom_site_fract_z
Al1 0.000 0.000 0.000
Co1 0.125 0.125 0.625
Tc1 0.250 0.250 0.250
```

Computed properties:
- DFT total energy: -7.097 eV/atom
- Density of states at the Fermi level: 1.456 states/eV/atom
- ΔH_f (0 K): -0.01 eV/atom
- V: 12.2 A^3/atom

No. 8
The following is a DFT calculation (PBE) of LaCeCdCu after structural relaxation.

Geometry as CIF:
```
data_LaCeCdCu
_symmetry_space_group_name_H-M 'F -4 3 m'
_symmetry_Int_Tables_number 216
_symmetry_space_group_name_Hall 'F -4 2 3'
_cell_length_a 7.527
_cell_length_b 7.527
_cell_length_c 7.527
_cell_angle_alpha 90.00
_cell_angle_beta 90.00
_cell_angle_gamma 90.00
loop_
_atom_site_label
_atom_site_fract_x
_atom_site_fract_y
_atom_site_fract_z
La1 0.000 0.000 0.000
Ce1 0.000 0.000 0.500
Cd1 0.250 0.250 0.250
Cu1 0.250 0.250 0.750
```

Computed properties:
- DFT total energy: -4.041 eV/atom
- Density of states at the Fermi level: 2.730 states/eV/atom
- ΔH_f (0 K): -0.07 eV/atom
- V: 26.7 A^3/atom

- Which of these has the lowest DFT total energy?
  YW

- Which value of density of states at the Fermi level does entry 4 give?
  0.574 states/eV/atom

- Which value of V does entry 2 give?
  29.3 A^3/atom

- Among the records above, which one has the highest density of states at the Fermi level?
  LaCeCdCu